Record 1
A plane-wave DFT calculation with PBE was carried out for HfCoNiB after structural relaxation.

Cell: 4.0942 4.0942 4.0942 Å, 60.00 60.00 60.00°
With the nearest neighbours (Å) after each atom.
Element x y z (fractional)
Hf1 0.2500 0.2500 0.2500  4 Co 2.51, 4 B 2.51
Ni1 0.7500 0.7500 0.7500  4 Co 2.51, 4 B 2.51
B1 0.0000 0.0000 0.0000  4 Ni 2.51, 4 Hf 2.51
Co1 0.5000 0.5000 0.5000  4 Ni 2.51, 4 Hf 2.51

Calculated values
Its calculated total energy is -28.919 eV for the cell shown. The total magnetization comes out at 1.327 μB per formula unit. The calculation puts the calculated volume at 12.1 Å³ per atom. The symmetry is F-43m (216).


Record 2
A plane-wave DFT calculation with PBE was carried out for HfCoNiB after structural relaxation.

Cell: 4.0517 4.0517 4.0517 Å, 60.00 60.00 60.00°
With the nearest neighbours (Å) after each atom.
Element x y z (fractional)
Hf1 0.5000 0.5000 0.5000  4 Ni 2.48, 4 Co 2.48
Ni1 0.2500 0.2500 0.2500  4 Hf 2.48, 4 B 2.48
Co1 0.7500 0.7500 0.7500  4 B 2.48, 4 Hf 2.48
B1 0.0000 0.0000 0.0000  4 Co 2.48, 4 Ni 2.48

Calculated values
Its calculated total energy is -29.262 eV for the cell shown. The total magnetization comes out at 0.062 μB per formula unit. The calculation puts the calculated volume at 11.8 Å³ per atom. The symmetry is F-43m (216).


Which value of calculated total energy does entry 2 give?
-29.262 eV for the cell shown